The following is a DFT calculation (PBE) of a geometry-optimized Ba2ZrGaH structure.

Computed properties:
Raw total energy: -3.10 eV/atom

a b c (Å): 6.5961 6.5961 3.7744
angles (deg): 90.00 90.00 90.00
With the nearest neighbours (Å) after each atom.
Space group P4/mmm (No. 123)
Symmetry-distinct sites (fractional):
Ba 0.0000 0.5000 0.0000 (multiplicity 2)  2 Ga 3.30
Zr 0.0000 0.0000 0.5000 (multiplicity 1)  2 Zr 3.77, 8 Ba 3.80
Ga 0.5000 0.5000 0.0000 (multiplicity 1)  2 H 1.89
H 0.5000 0.5000 0.5000 (multiplicity 1)  2 Ga 1.89